[1]
Density functional theory data (PBE) for crystalline PrPaAl at its relaxed geometry.

Output
Excess energy over the best structure of this formula in the dataset in meV/atom: 263
M_tot in μB per cell: 0.0
Energy of formation in meV/atom: 184
ρ in g cm⁻³: 9.10
Crystal system: trigonal

Cell lengths 3.079, 5.224, 5.224 Å; angles 120.00, 90.00, 90.00 degrees
Fractional coordinates of all 3 atoms:
Pr (0.170, 0.667, 0.333)
Pa (0.165, 0.000, 0.000)
Al (0.665, 0.333, 0.667)

---

[2]
Density functional theory data (PBE) for crystalline Pa2Al3Pt4 at its relaxed geometry.

Output
M_tot in μB per cell: 0.0
Energy of formation in meV/atom: -967
ρ in g cm⁻³: 13.41
Crystal system: orthorhombic

Cell lengths 5.690, 7.418, 8.271 Å; angles 90.00, 110.12, 90.00 degrees
Fractional coordinates of all 18 atoms:
Pa (0.105, 0.596, 0.210)
Pa (0.895, 0.404, 0.790)
Pa (0.395, 0.096, 0.790)
Pa (0.605, 0.904, 0.210)
Al (0.000, 0.000, 0.000)
Al (0.500, 0.500, 0.000)
Al (0.521, 0.750, 0.542)
Al (0.979, 0.250, 0.458)
Al (0.479, 0.250, 0.458)
Al (0.021, 0.750, 0.542)
Pt (0.688, 0.750, 0.876)
Pt (0.812, 0.250, 0.124)
Pt (0.312, 0.250, 0.124)
Pt (0.188, 0.750, 0.876)
Pt (0.174, 0.968, 0.349)
Pt (0.826, 0.032, 0.651)
Pt (0.326, 0.468, 0.651)
Pt (0.674, 0.532, 0.349)

---

[3]
Density functional theory data (PBE) for crystalline Pa2Al8Pt at its relaxed geometry.

Output
M_tot in μB per cell: 0.0
Energy of formation in meV/atom: -452
ρ in g cm⁻³: 6.88
Crystal system: tetragonal

Cell lengths 4.322, 4.322, 11.285 Å; angles 90.00, 90.00, 90.00 degrees
Fractional coordinates of all 11 atoms:
Pa (0.000, 0.000, 0.311)
Pa (0.000, 0.000, 0.689)
Al (0.000, 0.500, 0.500)
Al (0.500, 0.000, 0.500)
Al (0.500, 0.500, 0.306)
Al (0.500, 0.500, 0.694)
Al (0.000, 0.500, 0.124)
Al (0.500, 0.000, 0.124)
Al (0.000, 0.500, 0.876)
Al (0.500, 0.000, 0.876)
Pt (0.000, 0.000, 0.000)